# 1
The following is a GGA-PBE calculation of Co2WAu after structural relaxation, from the Alexandria database.

Magnetic moment   1.172 μB/cell
DFT formation energy   0.31 eV per atom
Offset from the most stable computed form   0.155 eV per atom

Lattice parameters (Å, degrees): 4.5279 4.5279 2.7504 90.00 90.00 104.69
Closest atoms and distances in Å follow each position.
Atoms (fractional coordinates):
Co (0.0000, 0.5000, 0.0000)  4 W 2.65, 4 Au 2.65, 4 Co 2.75-2.77
Co (0.5000, 0.0000, 0.0000)  4 W 2.65, 4 Au 2.65, 4 Co 2.75-2.77
W (0.0000, 0.0000, 0.5000)  8 Co 2.65, 2 W 2.75, 2 Au 2.77
Au (0.5000, 0.5000, 0.5000)  8 Co 2.65, 2 Au 2.75, 2 W 2.77


# 2
The following is a GGA-PBE calculation of ZrTcSbPt2 after structural relaxation, from the Alexandria database.

Uncorrected formation energy   817 meV/atom
Magnetic moment   1.618 μB/cell

Lattice parameters (Å, degrees): 4.8433 4.8433 4.9045 90.00 90.00 90.00
Closest atoms and distances in Å follow each position.
Atoms (fractional coordinates):
Zr (0.0000, 0.0000, 0.0000)  4 Tc 3.42, 8 Pt 3.45
Tc (0.5000, 0.5000, 0.0000)  2 Sb 2.45
Sb (0.5000, 0.5000, 0.5000)  4 Pt 2.42, 2 Tc 2.45
Pt (0.0000, 0.5000, 0.5000)  2 Sb 2.42
Pt (0.5000, 0.0000, 0.5000)  2 Sb 2.42


Q: Which of these has the highest magnetic moment?
A: ZrTcSbPt2


What did the second record say?
The following is a GGA-PBE calculation of ZrTcSbPt2 after structural relaxation, from the Alexandria database.

Uncorrected formation energy   817 meV/atom
Magnetic moment   1.618 μB/cell

Lattice parameters (Å, degrees): 4.8433 4.8433 4.9045 90.00 90.00 90.00
Closest atoms and distances in Å follow each position.
Atoms (fractional coordinates):
Zr (0.0000, 0.0000, 0.0000)  4 Tc 3.42, 8 Pt 3.45
Tc (0.5000, 0.5000, 0.0000)  2 Sb 2.45
Sb (0.5000, 0.5000, 0.5000)  4 Pt 2.42, 2 Tc 2.45
Pt (0.0000, 0.5000, 0.5000)  2 Sb 2.42
Pt (0.5000, 0.0000, 0.5000)  2 Sb 2.42


Please write out number 2 again, unchanged.
The following is a GGA-PBE calculation of ZrTcSbPt2 after structural relaxation, from the Alexandria database.

Uncorrected formation energy   817 meV/atom
Magnetic moment   1.618 μB/cell

Lattice parameters (Å, degrees): 4.8433 4.8433 4.9045 90.00 90.00 90.00
Closest atoms and distances in Å follow each position.
Atoms (fractional coordinates):
Zr (0.0000, 0.0000, 0.0000)  4 Tc 3.42, 8 Pt 3.45
Tc (0.5000, 0.5000, 0.0000)  2 Sb 2.45
Sb (0.5000, 0.5000, 0.5000)  4 Pt 2.42, 2 Tc 2.45
Pt (0.0000, 0.5000, 0.5000)  2 Sb 2.42
Pt (0.5000, 0.0000, 0.5000)  2 Sb 2.42


Q: What is the formula in the second record?
A: ZrTcSbPt2